(1)
First-principles (PBE) data for an optimized crystal structure of Ga2ReH6, as listed in the Alexandria database.

a b c (Å): 7.9081 4.5624 5.2286
angles (deg): 90.00 120.37 90.00
Last column: nearest neighbours and their distance in Å.
Space group C2/m (No. 12)
Symmetry-distinct sites (fractional):
Ga1 0.1323 0.0000 0.3993  3 H 1.80
Re1 0.0000 0.5000 0.5000  6 H 1.79
H1 0.0339 0.2905 0.8130  1 Re 1.79, 1 Ga 1.80, 2 H 1.91-1.93
H2 0.2450 0.5000 0.8109  1 Re 1.79, 1 Ga 1.80, 2 H 1.93

Values from the calculation:
Its volume is 9.04 Å³/atom. The calculation puts the polymorph energy (0 for the lowest one) at 0 kJ/mol of formula units.

***

(2)
First-principles (PBE) data for an optimized crystal structure of GaReH5, as listed in the Alexandria database.

a b c (Å): 5.5065 5.5065 3.6999
angles (deg): 90.00 90.00 90.00
Last column: nearest neighbours and their distance in Å.
Space group I-4m2 (No. 119)
Symmetry-distinct sites (fractional):
Ga1 0.0000 0.0000 0.0000  4 H 1.80
Re1 0.0000 0.5000 0.7500  6 H 1.70-1.85
H1 0.0000 0.2037 0.6182  1 Re 1.70, 1 Ga 1.80, 2 H 1.81
H2 0.0000 0.5000 0.2500  2 Re 1.85

Values from the calculation:
Its volume is 8.01 Å³/atom. For the energy, the calculation gives -59.29 eV/cell.

***

(3)
First-principles (PBE) data for an optimized crystal structure of Ga3ReH, as listed in the Alexandria database.

a b c (Å): 4.0182 4.0182 4.0182
angles (deg): 90.00 90.00 90.00
Last column: nearest neighbours and their distance in Å.
Space group Pm-3m (No. 221)
Symmetry-distinct sites (fractional):
Ga1 0.0000 0.0000 0.5000  2 H 2.01
Re1 0.5000 0.5000 0.5000  12 Ga 2.84
H1 0.0000 0.0000 0.0000  6 Ga 2.01

Values from the calculation:
Its volume is 12.98 Å³/atom. The calculation puts the polymorph energy (0 for the lowest one) at 0 kJ/mol of formula units.

***

(4)
First-principles (PBE) data for an optimized crystal structure of Ga2ReH8, as listed in the Alexandria database.

a b c (Å): 8.7210 6.9591 3.1453
angles (deg): 90.00 90.40 90.00
Last column: nearest neighbours and their distance in Å.
Space group C2/m (No. 12)
Symmetry-distinct sites (fractional):
Ga1 0.2068 0.0000 0.4983  2 H 1.73-1.74
Re1 0.0000 0.5000 0.5000  8 H 1.77-1.84
H1 0.0000 0.3636 0.0000  2 Re 1.84, 5 H 1.90-1.99
H2 0.1225 0.0000 0.9979  2 Ga 1.73-1.74
H3 0.1287 0.3033 0.5057  1 Re 1.77, 1 H 1.97, 1 Ga 1.98

Values from the calculation:
Its volume is 8.68 Å³/atom. For the energy, the calculation gives -85.93 eV/cell.

***

(5)
First-principles (PBE) data for an optimized crystal structure of Ga2ReH6, as listed in the Alexandria database.

a b c (Å): 6.5661 6.5661 6.5661
angles (deg): 90.00 90.00 90.00
Last column: nearest neighbours and their distance in Å.
Space group Fm-3m (No. 225)
Symmetry-distinct sites (fractional):
Ga1 0.2500 0.2500 0.2500  12 H 2.32
Re1 0.0000 0.0000 0.0000  6 H 1.75
H1 0.0000 0.0000 0.2668  1 Re 1.75

Values from the calculation:
Its volume is 7.86 Å³/atom. The calculation puts the polymorph energy (0 for the lowest one) at 30 kJ/mol of formula units.

***

(6)
First-principles (PBE) data for an optimized crystal structure of Ga2ReH2, as listed in the Alexandria database.

a b c (Å): 7.0963 7.0963 2.6830
angles (deg): 90.00 90.00 90.00
Last column: nearest neighbours and their distance in Å.
Space group P4/mbm (No. 127)
Symmetry-distinct sites (fractional):
Ga1 0.2454 0.2546 0.0000  2 Re 2.51, 2 H 2.55, 2 Ga 2.68
Re1 0.0000 0.0000 0.0000  4 Ga 2.51, 2 Re 2.68
H1 0.0381 0.5381 0.5000  1 H 0.77

Values from the calculation:
Its volume is 13.51 Å³/atom. The calculation puts the polymorph energy (0 for the lowest one) at 0 kJ/mol of formula units.